1.
# TaTlGaW2 (PBE, relaxed)
# Magnetic moment ... 0.003 μB/f.u.
# E_form ... 2.899 eV per atom
data_TaTlGaW2
_chemical_formula_sum 'Ta1 Tl1 Ga1 W2'
_space_group_name_H-M_alt 'P 1'
_space_group_IT_number 1
_cell_length_a 4.977
_cell_length_b 5.047
_cell_length_c 4.977
_cell_angle_alpha 90.00
_cell_angle_beta 90.00
_cell_angle_gamma 90.00
loop_
_space_group_symop_operation_xyz
'x,y,z'
loop_
_atom_site_label
_atom_site_type_symbol
_atom_site_fract_x
_atom_site_fract_y
_atom_site_fract_z
Tl1 Tl 0.000 0.000 0.000
Ga1 Ga 0.500 0.500 0.500
W1 W 0.000 0.000 0.500
W2 W 0.500 0.000 0.000
Ta1 Ta 0.000 0.500 0.000



2.
# YTa2TlGa (PBE, relaxed)
# Magnetic moment ... 0.000 μB/f.u.
# E_form ... 1.560 eV per atom
data_YTa2TlGa
_chemical_formula_sum 'Y1 Ta2 Tl1 Ga1'
_space_group_name_H-M_alt 'P 1'
_space_group_IT_number 1
_cell_length_a 5.233
_cell_length_b 5.233
_cell_length_c 4.939
_cell_angle_alpha 90.00
_cell_angle_beta 90.00
_cell_angle_gamma 90.00
loop_
_space_group_symop_operation_xyz
'x,y,z'
loop_
_atom_site_label
_atom_site_type_symbol
_atom_site_fract_x
_atom_site_fract_y
_atom_site_fract_z
Y1 Y 0.500 0.500 0.500
Tl1 Tl 0.000 0.000 0.000
Ga1 Ga 0.000 0.000 0.500
Ta1 Ta 0.000 0.500 0.000
Ta2 Ta 0.500 0.000 0.000



3.
# Tm2TaGa (PBE, relaxed)
# Magnetic moment ... 0.639 μB/f.u.
# E_form ... 0.366 eV per atom
data_Tm2TaGa
_chemical_formula_sum 'Tm2 Ta1 Ga1'
_space_group_name_H-M_alt 'P 1'
_space_group_IT_number 1
_cell_length_a 3.172
_cell_length_b 3.172
_cell_length_c 10.895
_cell_angle_alpha 81.63
_cell_angle_beta 81.63
_cell_angle_gamma 60.00
loop_
_space_group_symop_operation_xyz
'x,y,z'
loop_
_atom_site_label
_atom_site_type_symbol
_atom_site_fract_x
_atom_site_fract_y
_atom_site_fract_z
Tm1 Tm 0.093 0.093 0.720
Tm2 Tm 0.907 0.907 0.280
Ga1 Ga 0.500 0.500 0.500
Ta1 Ta 0.000 0.000 0.000



4.
# TmTa2Ga8 (PBE, relaxed)
# Magnetic moment ... 0.000 μB/f.u.
# E_form ... -0.012 eV per atom
data_TmTa2Ga8
_chemical_formula_sum 'Tm1 Ta2 Ga8'
_space_group_name_H-M_alt 'P 1'
_space_group_IT_number 1
_cell_length_a 5.269
_cell_length_b 7.158
_cell_length_c 6.947
_cell_angle_alpha 58.99
_cell_angle_beta 81.19
_cell_angle_gamma 72.71
loop_
_space_group_symop_operation_xyz
'x,y,z'
loop_
_atom_site_label
_atom_site_type_symbol
_atom_site_fract_x
_atom_site_fract_y
_atom_site_fract_z
Tm1 Tm 0.500 0.000 0.000
Ta1 Ta 0.000 0.288 0.425
Ta2 Ta 0.000 0.712 0.575
Ga1 Ga 0.866 0.107 0.209
Ga2 Ga 0.866 0.317 0.791
Ga3 Ga 0.260 0.419 0.000
Ga4 Ga 0.500 0.738 0.524
Ga5 Ga 0.500 0.262 0.476
Ga6 Ga 0.740 0.581 0.000
Ga7 Ga 0.134 0.683 0.209
Ga8 Ga 0.134 0.893 0.791



5.
# UTaGa (PBE, relaxed)
# Magnetic moment ... 0.661 μB/f.u.
# E_form ... 0.015 eV per atom
# Distance to the lowest polymorph of the same formula ... 0.0000 eV per atom
data_UTaGa
_chemical_formula_sum 'U1 Ta1 Ga1'
_space_group_name_H-M_alt 'P 1'
_space_group_IT_number 1
_cell_length_a 2.799
_cell_length_b 2.799
_cell_length_c 7.371
_cell_angle_alpha 100.95
_cell_angle_beta 100.95
_cell_angle_gamma 90.00
loop_
_space_group_symop_operation_xyz
'x,y,z'
loop_
_atom_site_label
_atom_site_type_symbol
_atom_site_fract_x
_atom_site_fract_y
_atom_site_fract_z
U1 U 0.620 0.620 0.241
Ga1 Ga 0.291 0.291 0.582
Ta1 Ta 0.939 0.939 0.877



6.
# UTaGa (PBE, relaxed)
# Magnetic moment ... 1.661 μB/f.u.
# E_form ... 0.247 eV per atom
# Distance to the lowest polymorph of the same formula ... 0.2317 eV per atom
data_UTaGa
_chemical_formula_sum 'U3 Ta3 Ga3'
_space_group_name_H-M_alt 'P 1'
_space_group_IT_number 1
_cell_length_a 2.860
_cell_length_b 8.381
_cell_length_c 8.381
_cell_angle_alpha 120.00
_cell_angle_beta 90.00
_cell_angle_gamma 90.00
loop_
_space_group_symop_operation_xyz
'x,y,z'
loop_
_atom_site_label
_atom_site_type_symbol
_atom_site_fract_x
_atom_site_fract_y
_atom_site_fract_z
Ta1 Ta 0.500 0.667 0.333
Ta2 Ta 0.500 0.333 0.667
Ta3 Ta 0.000 0.000 0.000
U1 U 0.500 0.309 0.000
U2 U 0.500 0.000 0.309
U3 U 0.500 0.691 0.691
Ga1 Ga 0.000 0.640 0.000
Ga2 Ga 0.000 0.000 0.640
Ga3 Ga 0.000 0.360 0.360



7.
# UTaGa (PBE, relaxed)
# Magnetic moment ... 1.389 μB/f.u.
# E_form ... 0.134 eV per atom
# Distance to the lowest polymorph of the same formula ... 0.1189 eV per atom
data_UTaGa
_chemical_formula_sum 'U1 Ta1 Ga1'
_space_group_name_H-M_alt 'P 1'
_space_group_IT_number 1
_cell_length_a 2.802
_cell_length_b 4.885
_cell_length_c 4.885
_cell_angle_alpha 120.00
_cell_angle_beta 90.00
_cell_angle_gamma 90.00
loop_
_space_group_symop_operation_xyz
'x,y,z'
loop_
_atom_site_label
_atom_site_type_symbol
_atom_site_fract_x
_atom_site_fract_y
_atom_site_fract_z
U1 U 0.333 0.667 0.333
Ga1 Ga 0.833 0.000 0.000
Ta1 Ta 0.833 0.333 0.667



8.
# TaV4Ga2 (PBE, relaxed)
# Magnetic moment ... 0.000 μB/f.u.
# E_form ... -0.002 eV per atom
# Distance to the lowest polymorph of the same formula ... 0.0000 eV per atom
data_TaV4Ga2
_chemical_formula_sum 'Ta2 V8 Ga4'
_space_group_name_H-M_alt 'P 1'
_space_group_IT_number 1
_cell_length_a 6.891
_cell_length_b 4.991
_cell_length_c 6.667
_cell_angle_alpha 90.00
_cell_angle_beta 115.90
_cell_angle_gamma 90.00
loop_
_space_group_symop_operation_xyz
'x,y,z'
loop_
_atom_site_label
_atom_site_type_symbol
_atom_site_fract_x
_atom_site_fract_y
_atom_site_fract_z
Ta1 Ta 0.222 0.750 0.300
Ta2 Ta 0.778 0.250 0.700
V1 V 0.582 0.497 0.220
V2 V 0.096 0.750 0.865
V3 V 0.904 0.250 0.135
V4 V 0.582 0.003 0.220
V5 V 0.049 0.250 0.523
V6 V 0.418 0.997 0.780
V7 V 0.418 0.503 0.780
V8 V 0.951 0.750 0.477
Ga1 Ga 0.792 0.750 0.020
Ga2 Ga 0.208 0.250 0.980
Ga3 Ga 0.355 0.250 0.408
Ga4 Ga 0.645 0.750 0.592



Please write out number 6 again, unchanged.
# UTaGa (PBE, relaxed)
# Magnetic moment ... 1.661 μB/f.u.
# E_form ... 0.247 eV per atom
# Distance to the lowest polymorph of the same formula ... 0.2317 eV per atom
data_UTaGa
_chemical_formula_sum 'U3 Ta3 Ga3'
_space_group_name_H-M_alt 'P 1'
_space_group_IT_number 1
_cell_length_a 2.860
_cell_length_b 8.381
_cell_length_c 8.381
_cell_angle_alpha 120.00
_cell_angle_beta 90.00
_cell_angle_gamma 90.00
loop_
_space_group_symop_operation_xyz
'x,y,z'
loop_
_atom_site_label
_atom_site_type_symbol
_atom_site_fract_x
_atom_site_fract_y
_atom_site_fract_z
Ta1 Ta 0.500 0.667 0.333
Ta2 Ta 0.500 0.333 0.667
Ta3 Ta 0.000 0.000 0.000
U1 U 0.500 0.309 0.000
U2 U 0.500 0.000 0.309
U3 U 0.500 0.691 0.691
Ga1 Ga 0.000 0.640 0.000
Ga2 Ga 0.000 0.000 0.640
Ga3 Ga 0.000 0.360 0.360



- magnetic moment of number 1 (TaTlGaW2)?
  0.003 μB/f.u.



- Number 8 is which compound?
  TaV4Ga2



- What is the magnetic moment in the first record?
  0.003 μB/f.u.